TiHg2WN | PBE | relaxed

abc: 5.3786 5.3786 4.6096
angles: 90.00 90.00 90.00
Closest atoms and distances in Å follow each position.
Element x y z (fractional)
Ti  0.0000  0.0000  0.0000  2 W 2.30
Hg  0.0000  0.5000  0.5000  2 W 2.69
Hg  0.5000  0.0000  0.5000  2 W 2.69
W  0.0000  0.0000  0.5000  2 Ti 2.30
N  0.5000  0.5000  0.0000  8 Hg 3.54, 4 Ti 3.80

Output
Its total magnetization is 2.160 μB/cell. The symmetry is P4/mmm, No. 123. For the final energy, the calculation gives -20.3 eV per cell. The calculation puts the formation energy without anion corrections at 1.8923 eV per atom.

=====

SrMg4Pb | PBE | relaxed

abc: 6.2134 6.2134 6.2134
angles: 60.00 60.00 60.00
Closest atoms and distances in Å follow each position.
Element x y z (fractional)
Sr  0.0000  0.0000  0.0000  12 Mg 3.64, 4 Pb 3.80
Mg  0.1261  0.6246  0.6246  6 Mg 3.10-3.12
Mg  0.6246  0.1261  0.6246  6 Mg 3.10-3.12
Mg  0.6246  0.6246  0.1261  6 Mg 3.10-3.12
Mg  0.6246  0.6246  0.6246  6 Mg 3.10-3.12
Pb  0.2500  0.2500  0.2500  12 Mg 3.64, 4 Sr 3.80

Output
Its total magnetization is 0.000 μB/cell. The symmetry is F-43m, No. 216. For the final energy, the calculation gives -12.2 eV per cell. The calculation puts the energy relative to the elements at -6.4 kJ per mole of atoms.